The following is a PBE calculation of a geometry-optimized Ba2SrCo structure, from the Alexandria database.

abc: 3.968 3.968 10.656
angles: 90.00 90.00 90.00
Element x y z (fractional)
Ba: 0.000 0.000 0.171
Ba: 0.000 0.000 0.829
Sr: 0.500 0.500 0.500
Co: 0.500 0.500 0.000

Properties
Energy relative to the lowest polymorph listed for this composition: 0.049 eV/atom
Calculated total energy: -2.8155 eV/atom
Symmetry: P4/mmm, No. 123

***

The following is a PBE calculation of a geometry-optimized Ba2SrCo structure, from the Alexandria database.

abc: 8.582 8.582 8.582
angles: 120.04 120.04 89.92
Element x y z (fractional)
Ba: 0.375 0.129 0.254
Ba: 0.871 0.125 0.246
Ba: 0.875 0.121 0.746
Ba: 0.879 0.625 0.754
Sr: 0.250 0.750 0.500
Sr: 0.500 0.500 0.000
Co: 0.000 0.000 0.000
Co: 0.750 0.250 0.500

Properties
Energy relative to the lowest polymorph listed for this composition: 0.264 eV/atom
Calculated total energy: -2.5999 eV/atom
Symmetry: I-42d, No. 122

***

The following is a PBE calculation of a geometry-optimized Ba2SrCo structure, from the Alexandria database.

abc: 3.942 3.942 10.756
angles: 90.00 90.00 90.00
Element x y z (fractional)
Ba: 0.000 0.000 0.000
Ba: 0.500 0.500 0.344
Sr: 0.500 0.500 0.675
Co: 0.000 0.000 0.514

Properties
Energy relative to the lowest polymorph listed for this composition: 0.062 eV/atom
Calculated total energy: -2.8028 eV/atom
Symmetry: P4mm, No. 99

***

The following is a PBE calculation of a geometry-optimized BaSr2Co2 structure, from the Alexandria database.

abc: 8.142 8.142 4.806
angles: 90.00 90.00 90.00
Element x y z (fractional)
Ba: 0.000 0.000 0.000
Ba: 0.500 0.500 0.000
Sr: 0.162 0.338 0.500
Sr: 0.338 0.838 0.500
Sr: 0.662 0.162 0.500
Sr: 0.838 0.662 0.500
Co: 0.095 0.595 0.000
Co: 0.405 0.095 0.000
Co: 0.595 0.905 0.000
Co: 0.905 0.405 0.000

Properties
Calculated total energy: -3.5186 eV/atom
Symmetry: P4/mbm, No. 127

***

The following is a PBE calculation of a geometry-optimized BaSr2Co structure, from the Alexandria database.

abc: 7.466 7.466 7.466
angles: 149.25 130.32 59.57
Element x y z (fractional)
Ba: 0.000 0.000 0.000
Sr: 0.325 0.825 0.500
Sr: 0.675 0.175 0.500
Co: 0.500 0.500 0.000

Properties
Energy relative to the lowest polymorph listed for this composition: 0.058 eV/atom
Calculated total energy: -2.7316 eV/atom
Symmetry: Immm, No. 71

***

The following is a PBE calculation of a geometry-optimized Ba2SrCo structure, from the Alexandria database.

abc: 5.953 5.953 5.953
angles: 60.00 60.00 60.00
Element x y z (fractional)
Ba: 0.250 0.250 0.250
Ba: 0.750 0.750 0.750
Sr: 0.000 0.000 0.000
Co: 0.500 0.500 0.500

Properties
Energy relative to the lowest polymorph listed for this composition: 0.387 eV/atom
Calculated total energy: -2.4775 eV/atom
Symmetry: Fm-3m, No. 225

***

Number 1: formation energy from the elements 342.8 meV per atom, magnetization 0.92 μB/f.u.. Number 2: formation energy from the elements 558.4 meV per atom, magnetization 0.00 μB/f.u.. Number 3: formation energy from the elements 355.5 meV per atom, magnetization 1.09 μB/f.u.. Number 4: formation energy from the elements 381.1 meV per atom, magnetization 2.30 μB/f.u.. Number 5: formation energy from the elements 366.5 meV per atom, magnetization 0.66 μB/f.u.. Number 6: formation energy from the elements 680.8 meV per atom, magnetization 0.00 μB/f.u..